A.
Material: Sr2Pu2O7
Method: DFT, PBE
State: optimized geometry

```
22
Lattice="-7.138 -2.502 -2.359 -1.640 -7.750 -0.125 -5.065 -3.063 5.267" Properties=species:S:1:pos:R:3 pbc="T T T"
Sr -8.651 -8.322 1.739
Sr -6.119 -6.790 -0.894
Sr -7.831 -4.447 1.802
Sr -5.082 -7.071 2.919
Pu -5.299 -2.915 -0.832
Pu -2.550 -5.540 0.286
Pu -4.262 -3.196 2.981
Pu -1.730 -1.664 0.348
O -5.795 -4.478 3.742
O -3.718 -7.320 0.472
O -5.539 -2.899 1.293
O -4.191 -4.744 -0.830
O -10.381 -9.986 2.087
O -7.052 -4.137 -0.883
O -3.546 -1.693 -0.781
O -3.375 -4.965 2.172
O -2.730 -1.914 2.221
O -1.382 -3.759 0.099
O -6.789 -9.178 3.666
O -6.921 -6.658 1.392
O -10.124 -5.995 2.311
O -8.047 -8.837 -0.959
```

=====

B.
Material: Sr2Pu2O7
Method: DFT, PBE
State: optimized geometry

```
11
Lattice="-0.654 -1.556 5.165 1.350 -5.304 -1.428 5.277 1.243 0.373" Properties=species:S:1:pos:R:3 pbc="T T T"
Sr 4.139 -2.887 3.436
Sr 1.835 -2.731 0.676
Pu 2.312 -6.098 2.432
Pu 3.661 0.480 1.679
O 2.294 -2.150 5.025
O 5.991 -3.625 1.856
O 3.679 -3.468 -0.914
O -0.017 -1.993 2.256
O 0.000 0.000 0.000
O 3.363 -4.287 1.658
O 2.611 -1.331 2.453
```

=====

The least stable of them is B.

=====

A.
Material: PuTc2O8
Method: DFT, PBE
State: optimized geometry

```
11
Lattice="-0.582 -3.748 -4.238 -2.179 -5.115 3.274 -6.398 -0.833 0.067" Properties=species:S:1:pos:R:3 pbc="T T T"
Pu 0.000 0.000 0.000
Tc -1.878 -2.413 -0.751
Tc -7.281 -7.284 -0.146
O -5.060 -3.966 -3.145
O -6.727 -3.064 0.251
O -1.644 -3.329 -2.281
O -7.514 -6.367 1.385
O -2.432 -6.632 -1.148
O -4.099 -5.731 2.249
O -3.179 -2.982 0.201
O -5.979 -6.714 -1.097
```

=====

B.
Material: PuTc2O8
Method: DFT, PBE
State: optimized geometry

```
11
Lattice="-7.153 -2.934 -1.876 -1.566 -6.124 -2.350 -3.826 -4.336 3.469" Properties=species:S:1:pos:R:3 pbc="T T T"
Pu 0.000 0.000 0.000
Tc -4.158 -2.595 -0.818
Tc -8.386 -10.799 0.060
O -8.616 -7.344 1.045
O -5.261 -4.996 1.627
O -7.032 -4.615 -1.313
O -5.513 -8.778 0.556
O -7.284 -8.398 -2.384
O -3.929 -6.049 -1.803
O -2.946 -3.529 -0.060
O -9.598 -9.865 -0.697
```

=====

The least stable of them is B.

=====

A.
Material: Pu2TeO
Method: DFT, PBE
State: optimized geometry

```
16
Lattice="-5.136 3.474 -0.841 -0.552 -2.227 -5.833 -5.784 -7.439 4.589" Properties=species:S:1:pos:R:3 pbc="T T T"
Pu -9.774 -6.436 -2.156
Pu -1.697 0.244 0.072
Pu -7.507 -2.801 -0.983
Pu -3.964 -3.391 -1.102
Pu -5.380 0.432 -2.624
Pu -6.091 -6.624 0.540
Pu -6.009 0.297 0.656
Pu -5.462 -6.489 -2.741
Te -4.219 -3.975 -4.275
Te -7.252 -2.217 2.191
Te -2.504 -1.053 -2.671
Te -8.967 -5.139 0.587
O -4.490 -5.604 -0.808
O -6.981 -0.587 -1.276
O -6.133 -8.137 -1.240
O -5.338 1.945 -0.844
```

=====

B.
Material: Pu2TeO
Method: DFT, PBE
State: optimized geometry

```
4
Lattice="4.233 0.000 0.000 2.116 3.665 0.000 2.116 1.222 8.074" Properties=species:S:1:pos:R:3 pbc="T T T"
Te 4.233 2.444 4.037
O 0.000 0.000 0.000
Pu 2.116 1.222 6.013
Pu 6.349 3.665 2.062
```

=====

The least stable of them is B.

=====

A.
Material: Pu2Te2O
Method: DFT, PBE
State: optimized geometry

```
10
Lattice="5.622 0.000 2.399 1.594 6.329 4.052 0.066 0.876 7.632" Properties=species:S:1:pos:R:3 pbc="T T T"
Pu 1.505 3.903 4.260
Pu 5.777 3.302 9.822
Pu 3.533 5.326 7.294
Pu 3.748 1.879 6.789
Te 2.548 2.841 9.601
Te 4.733 4.364 4.481
Te 0.902 0.723 5.673
Te 6.379 6.482 8.410
O 2.235 3.603 6.442
O 5.046 3.603 7.641
```

=====

B.
Material: Pu2Te2O
Method: DFT, PBE
State: optimized geometry

```
10
Lattice="-2.783 2.797 -0.761 -4.553 -4.836 -1.124 -1.088 -1.275 9.897" Properties=species:S:1:pos:R:3 pbc="T T T"
Pu -4.616 -1.599 0.393
Pu -0.914 -0.029 3.234
Pu -5.367 -1.010 5.307
Pu -2.659 -0.495 7.903
Te -1.453 -1.361 0.310
Te -3.411 -2.517 3.221
Te -3.016 1.324 5.284
Te -7.273 -2.274 7.628
O -6.185 -2.986 1.036
O -3.724 -1.906 6.610
```

=====

The least stable of them is B.

=====

A.
Material: PuThO
Method: DFT, PBE
State: optimized geometry

```
6
Lattice="3.461 0.000 0.000 -1.731 10.403 -0.408 0.000 0.286 4.090" Properties=species:S:1:pos:R:3 pbc="T T T"
Th 0.000 1.925 3.040
Th 1.731 8.764 0.641
Pu 0.000 4.807 1.302
Pu 1.731 5.882 2.379
O 0.000 2.597 0.900
O 1.731 8.092 2.781
```

=====

B.
Material: PuThO
Method: DFT, PBE
State: optimized geometry

```
3
Lattice="-2.045 -3.023 0.276 1.385 0.983 -3.242 4.718 -3.093 1.077" Properties=species:S:1:pos:R:3 pbc="T T T"
O 3.424 -2.439 -1.343
Th 1.095 -2.997 -0.441
Pu 4.256 -2.790 0.971
```

=====

The least stable of them is A.

=====

A.
Material: Rb4O
Method: DFT, PBE
State: optimized geometry

```
10
Lattice="8.822 -0.229 0.000 -3.611 8.052 0.000 -2.606 -3.912 7.493" Properties=species:S:1:pos:R:3 pbc="T T T"
Rb 2.938 0.149 5.096
Rb 5.222 -1.372 2.397
Rb 5.154 -3.211 6.103
Rb 1.267 -0.622 1.389
Rb -0.538 3.404 2.357
Rb -2.868 4.956 5.136
Rb -1.473 0.263 6.143
Rb 3.416 2.654 1.349
O 1.250 1.876 0.000
O -0.556 5.902 3.746
```

=====

B.
Material: Rb4O
Method: DFT, PBE
State: optimized geometry

```
5
Lattice="-5.138 -1.902 -2.846 2.887 -5.166 -1.758 -1.839 -2.794 5.189" Properties=species:S:1:pos:R:3 pbc="T T T"
Rb 0.000 0.000 0.000
Rb -3.489 -2.348 1.172
Rb 0.524 -3.980 1.715
Rb -1.126 -3.534 -2.302
O -2.045 -4.931 0.293
```

=====

The least stable of them is B.

=====

A.
Material: RbO3
Method: DFT, PBE
State: optimized geometry

```
8
Lattice="-5.905 1.113 -0.793 -0.499 -4.876 -3.134 -0.993 -1.288 5.586" Properties=species:S:1:pos:R:3 pbc="T T T"
Rb -2.299 -2.243 2.391
Rb -5.097 -2.808 -0.733
O -2.112 -3.602 -0.914
O -5.284 -1.448 2.573
O -2.403 -4.357 0.195
O -4.993 -0.694 1.464
O -5.497 -2.775 2.291
O -1.899 -2.276 -0.633
```

=====

B.
Material: RbO3
Method: DFT, PBE
State: optimized geometry

```
16
Lattice="-0.702 -0.852 6.050 6.283 -2.106 0.432 3.816 6.513 1.360" Properties=species:S:1:pos:R:3 pbc="T T T"
O 2.835 3.500 2.106
O 5.392 4.440 5.660
O 6.563 0.054 5.736
O 4.005 -0.886 2.182
O 8.089 4.363 3.080
O 6.366 1.405 5.589
O 1.308 -0.808 4.762
O 3.032 2.150 2.253
O 3.839 4.124 1.420
O 4.587 4.059 4.624
O 5.558 -0.569 6.421
O 4.810 -0.504 3.218
Rb 8.371 3.500 6.196
Rb 6.066 2.246 2.626
Rb 1.026 0.055 1.646
Rb 3.331 1.308 5.215
```

=====

The least stable of them is A.

=====

A.
Material: RbReO2
Method: DFT, PBE
State: optimized geometry

```
8
Lattice="5.211 0.000 0.000 0.000 5.211 0.000 2.606 2.606 5.636" Properties=species:S:1:pos:R:3 pbc="T T T"
Re 0.000 0.000 0.000
Re 5.211 2.606 2.818
O 4.962 1.303 1.409
O 5.461 3.908 1.409
O 3.908 2.855 4.227
O 6.514 2.356 4.227
Rb 2.606 2.606 0.000
Rb 2.606 5.211 2.818
```

=====

B.
Material: RbReO2
Method: DFT, PBE
State: optimized geometry

```
4
Lattice="1.926 4.644 5.897 3.277 1.896 6.761 4.779 3.841 4.739" Properties=species:S:1:pos:R:3 pbc="T T T"
Re 0.000 0.000 0.000
O 9.193 9.560 16.022
O 0.789 0.820 1.375
Rb 4.991 5.190 8.699
```

=====

The least stable of them is A.

=====

A.
Material: RbRe3O
Method: DFT, PBE
State: optimized geometry

```
5
Lattice="4.348 0.000 0.000 0.000 4.348 0.000 0.000 0.000 4.348" Properties=species:S:1:pos:R:3 pbc="T T T"
Re 0.000 2.174 0.000
Re 0.000 0.000 2.174
Re 2.174 0.000 0.000
O 0.000 0.000 0.000
Rb 2.174 2.174 2.174
```

=====

B.
Material: RbRe3O
Method: DFT, PBE
State: optimized geometry

```
5
Lattice="4.742 0.000 0.000 0.000 4.742 0.000 0.000 0.000 4.742" Properties=species:S:1:pos:R:3 pbc="T T T"
Re 0.000 2.371 0.000
Re 0.000 0.000 2.371
Re 2.371 0.000 0.000
O 2.371 2.371 2.371
Rb 0.000 0.000 0.000
```

=====

The least stable of them is B.

=====

A.
Material: RbRh3O
Method: DFT, PBE
State: optimized geometry

```
5
Lattice="4.368 0.000 0.000 0.000 4.368 0.000 0.000 0.000 4.368" Properties=species:S:1:pos:R:3 pbc="T T T"
Rh 0.000 2.184 0.000
Rh 0.000 0.000 2.184
Rh 2.184 0.000 0.000
O 0.000 0.000 0.000
Rb 2.184 2.184 2.184
```

=====

B.
Material: RbRh3O
Method: DFT, PBE
State: optimized geometry

```
5
Lattice="-0.797 1.255 4.745 -4.313 -2.475 -0.070 2.344 -4.126 1.485" Properties=species:S:1:pos:R:3 pbc="T T T"
Rh -2.156 -1.237 -0.035
Rh 1.172 -2.063 0.743
Rh -0.398 0.628 2.373
O -1.383 -2.673 3.080
Rb 0.000 0.000 0.000
```

=====

The least stable of them is B.

=====

A.
Material: Rb3RuO6
Method: DFT, PBE
State: optimized geometry

```
20
Lattice="-3.076 -2.942 4.818 -3.084 -3.923 -4.365 6.851 -6.090 0.632" Properties=species:S:1:pos:R:3 pbc="T T T"
Rb 0.630 -9.855 -1.267
Rb -3.080 -3.433 0.227
Rb 0.061 -3.101 2.353
Rb 0.045 -3.681 -2.149
Rb 3.426 -3.045 0.316
Rb 0.646 -9.274 3.235
Ru 0.346 -6.478 0.543
Ru 0.000 0.000 0.000
O 3.821 -8.815 3.598
O 0.871 -6.308 2.346
O -1.118 -5.355 0.865
O 1.809 -7.601 0.221
O -0.179 -6.648 -1.260
O -3.130 -4.140 -2.512
O 1.386 -4.994 0.099
O -0.900 -1.643 -0.214
O 5.206 -5.199 0.697
O -4.515 -7.757 0.389
O 1.592 -11.313 1.300
O -0.695 -7.961 0.987
```

=====

B.
Material: Rb3RuO6
Method: DFT, PBE
State: optimized geometry

```
10
Lattice="6.537 0.000 0.000 3.269 5.661 0.000 3.269 1.887 5.337" Properties=species:S:1:pos:R:3 pbc="T T T"
Rb 9.806 5.661 4.003
Rb 3.269 1.887 1.334
Rb 6.537 3.774 2.669
Ru 0.000 0.000 0.000
O 8.483 4.897 1.080
O 6.537 6.021 4.257
O 4.591 4.897 1.080
O 6.537 1.528 1.080
O 8.483 2.651 4.257
O 4.591 2.651 4.257
```

=====

The least stable of them is B.